# 1
{"formula": "Be2IrOsC", "functional": "PBE", "state": "relaxed", "formation_enthalpy_0k_ev_per_atom": 2.236, "space_group": "P4/mmm (123)", "lattice": [[4.175, 0.000, 0.000], [0.000, 4.175, 0.000], [0.000, 0.000, 4.711]], "species": ["Be", "Be", "Ir", "Os", "C"], "fractional_positions": [[0.000, 0.500, 0.000], [0.500, 0.000, 0.000], [0.000, 0.000, 0.500], [0.000, 0.000, 0.000], [0.500, 0.500, 0.500]]}

***

# 2
{"formula": "Pu3InFe", "functional": "PBE", "state": "relaxed", "formation_enthalpy_0k_ev_per_atom": 0.057, "space_group": "Pm-3m (221)", "lattice": [[5.026, 0.000, 0.000], [0.000, 5.026, 0.000], [0.000, 0.000, 5.026]], "species": ["Pu", "Pu", "Pu", "In", "Fe"], "fractional_positions": [[0.000, 0.000, 0.500], [0.000, 0.500, 0.000], [0.500, 0.000, 0.000], [0.500, 0.500, 0.500], [0.000, 0.000, 0.000]]}

***

# 3
{"formula": "HgPd3Br", "functional": "PBE", "state": "relaxed", "e_above_lowest_polymorph_mev_per_atom": 366.7, "space_group": "Pm-3m (221)", "raw_formation_energy_mev_per_atom": 844, "lattice": [[5.112, 0.000, 0.000], [0.000, 5.112, 0.000], [0.000, 0.000, 5.112]], "species": ["Hg", "Pd", "Pd", "Pd", "Br"], "fractional_positions": [[0.000, 0.000, 0.000], [0.000, 0.000, 0.500], [0.000, 0.500, 0.000], [0.500, 0.000, 0.000], [0.500, 0.500, 0.500]]}

***

no.,magnetic moment (μB/f.u.)
1,0.6
2,15.5
3,0.0